Entry 1:
This record from the Alexandria database describes a geometry-optimized Sm3TlGe structure. The functional is PBE.

Cell: 8.6891 11.0512 6.2573 Å, 90.00 90.00 90.00°
Closest atoms and distances in Å follow each position.
Fractional positions:
Sm 0.0445 0.2500 0.1233  2 Ge 2.89, 2 Tl 3.19-3.21
Sm 0.1771 0.0596 0.6160  2 Ge 2.93-2.97
Sm 0.1771 0.4404 0.6160  2 Ge 2.93-2.97
Sm 0.3229 0.5596 0.1160  2 Ge 2.93-2.97
Sm 0.3229 0.9404 0.1160  2 Ge 2.93-2.97
Sm 0.4555 0.7500 0.6233  2 Ge 2.89, 2 Tl 3.19-3.21
Sm 0.5445 0.2500 0.3767  2 Ge 2.89, 2 Tl 3.19-3.21
Sm 0.6771 0.0596 0.8840  2 Ge 2.93-2.97
Sm 0.6771 0.4404 0.8840  2 Ge 2.93-2.97
Sm 0.8229 0.5596 0.3840  2 Ge 2.93-2.97
Sm 0.8229 0.9404 0.3840  2 Ge 2.93-2.97
Sm 0.9555 0.7500 0.8767  2 Ge 2.89, 2 Tl 3.19-3.21
Tl 0.1167 0.7500 0.4179  6 Sm 3.19-3.35
Tl 0.3833 0.2500 0.9179  6 Sm 3.19-3.35
Tl 0.6167 0.7500 0.0821  6 Sm 3.19-3.35
Tl 0.8833 0.2500 0.5821  6 Sm 3.19-3.35
Ge 0.0000 0.0000 0.0000  6 Sm 2.89-2.97
Ge 0.0000 0.5000 0.0000  6 Sm 2.89-2.97
Ge 0.5000 0.0000 0.5000  6 Sm 2.89-2.97
Ge 0.5000 0.5000 0.5000  6 Sm 2.89-2.97

Summary:
Its space group is Pnma, No. 62. As for the energy: -4.69 eV/atom. For the formation enthalpy at 0 K, the calculation gives -462 meV per atom.

---

Entry 2:
This record from the Alexandria database describes a geometry-optimized KCr2Hg2 structure. The functional is PBE.

Cell: 8.5309 8.5309 2.9703 Å, 90.00 90.00 90.00°
Closest atoms and distances in Å follow each position.
Fractional positions:
K 0.0000 0.0000 0.0000  2 K 2.97, 4 Hg 3.07
K 0.5000 0.5000 0.0000  2 K 2.97, 4 Hg 3.07
Cr 0.0774 0.4226 0.5000  1 Cr 1.87
Cr 0.4226 0.9226 0.5000  1 Cr 1.87
Cr 0.5774 0.0774 0.5000  1 Cr 1.87
Cr 0.9226 0.5774 0.5000  1 Cr 1.87
Hg 0.2030 0.7030 0.0000  2 Hg 2.97, 6 Cr 3.01-3.04, 2 K 3.07
Hg 0.2970 0.2030 0.0000  2 Hg 2.97, 6 Cr 3.01-3.04, 2 K 3.07
Hg 0.7030 0.7970 0.0000  2 Hg 2.97, 6 Cr 3.01-3.04, 2 K 3.07
Hg 0.7970 0.2970 0.0000  2 Hg 2.97, 6 Cr 3.01-3.04, 2 K 3.07

Summary:
The value obtained for the polymorph energy (0 for the lowest one) is 114.5 meV per atom. Its space group is P4/mbm, No. 127. As for the energy: -3.54 eV/atom. For the formation enthalpy at 0 K, the calculation gives 650 meV per atom.

---

Entry 3:
This record from the Alexandria database describes a geometry-optimized CrCuSiPt structure. The functional is PBE.

Cell: 5.9864 5.9864 5.9864 Å, 90.00 90.00 90.00°
Closest atoms and distances in Å follow each position.
Fractional positions:
Cr 0.0000 0.0000 0.0000  4 Si 2.59, 4 Cu 2.59
Cr 0.0000 0.5000 0.5000  4 Si 2.59, 4 Cu 2.59
Cr 0.5000 0.0000 0.5000  4 Si 2.59, 4 Cu 2.59
Cr 0.5000 0.5000 0.0000  4 Si 2.59, 4 Cu 2.59
Cu 0.2500 0.2500 0.7500  4 Cr 2.59, 4 Pt 2.59
Cu 0.2500 0.7500 0.2500  4 Cr 2.59, 4 Pt 2.59
Cu 0.7500 0.2500 0.2500  4 Cr 2.59, 4 Pt 2.59
Cu 0.7500 0.7500 0.7500  4 Cr 2.59, 4 Pt 2.59
Si 0.2500 0.2500 0.2500  4 Cr 2.59, 4 Pt 2.59
Si 0.2500 0.7500 0.7500  4 Cr 2.59, 4 Pt 2.59
Si 0.7500 0.2500 0.7500  4 Cr 2.59, 4 Pt 2.59
Si 0.7500 0.7500 0.2500  4 Cr 2.59, 4 Pt 2.59
Pt 0.0000 0.0000 0.5000  4 Cu 2.59, 4 Si 2.59
Pt 0.0000 0.5000 0.0000  4 Cu 2.59, 4 Si 2.59
Pt 0.5000 0.0000 0.0000  4 Cu 2.59, 4 Si 2.59
Pt 0.5000 0.5000 0.5000  4 Cu 2.59, 4 Si 2.59

Summary:
Its space group is F-43m, No. 216. As for the energy: -6.51 eV/atom. The calculation puts the formation energy without anion corrections at -0.2108 eV per atom.

---

Entry 4:
This record from the Alexandria database describes a geometry-optimized AlAgAu5 structure. The functional is PBE.

Cell: 4.1854 4.1854 7.3533 Å, 90.00 90.00 90.00°
Closest atoms and distances in Å follow each position.
Fractional positions:
Al 0.0000 0.0000 0.0000  8 Au 2.61
Ag 0.0000 0.0000 0.5000  12 Au 2.96-2.98
Au 0.0000 0.5000 0.2123  2 Al 2.61
Au 0.0000 0.5000 0.7877  2 Al 2.61
Au 0.5000 0.0000 0.2123  2 Al 2.61
Au 0.5000 0.0000 0.7877  2 Al 2.61
Au 0.5000 0.5000 0.5000  4 Ag 2.96, 8 Au 2.98

Summary:
The value obtained for the polymorph energy (0 for the lowest one) is 11.0 meV per atom. Its space group is P4/mmm, No. 123. As for the energy: -3.43 eV/atom. For the formation enthalpy at 0 K, the calculation gives -150 meV per atom.

---

Entry 5:
This record from the Alexandria database describes a geometry-optimized AlHg2Os structure. The functional is PBE.

Cell: 6.5874 6.5874 6.5874 Å, 90.00 90.00 90.00°
Closest atoms and distances in Å follow each position.
Fractional positions:
Al 0.0000 0.0000 0.0000  4 Hg 2.85, 4 Os 2.85
Al 0.0000 0.5000 0.5000  4 Hg 2.85, 4 Os 2.85
Al 0.5000 0.0000 0.5000  4 Hg 2.85, 4 Os 2.85
Al 0.5000 0.5000 0.0000  4 Hg 2.85, 4 Os 2.85
Hg 0.0000 0.0000 0.5000  4 Hg 2.85, 4 Os 2.85
Hg 0.0000 0.5000 0.0000  4 Hg 2.85, 4 Os 2.85
Hg 0.2500 0.2500 0.7500  4 Hg 2.85, 4 Al 2.85
Hg 0.2500 0.7500 0.2500  4 Hg 2.85, 4 Al 2.85
Hg 0.5000 0.0000 0.0000  4 Hg 2.85, 4 Os 2.85
Hg 0.5000 0.5000 0.5000  4 Hg 2.85, 4 Os 2.85
Hg 0.7500 0.2500 0.2500  4 Hg 2.85, 4 Al 2.85
Hg 0.7500 0.7500 0.7500  4 Hg 2.85, 4 Al 2.85
Os 0.2500 0.2500 0.2500  4 Hg 2.85, 4 Al 2.85
Os 0.2500 0.7500 0.7500  4 Hg 2.85, 4 Al 2.85
Os 0.7500 0.2500 0.7500  4 Hg 2.85, 4 Al 2.85
Os 0.7500 0.7500 0.2500  4 Hg 2.85, 4 Al 2.85

Summary:
Its space group is F-43m, No. 216. As for the energy: -3.23 eV/atom. For the formation enthalpy at 0 K, the calculation gives 660 meV per atom.

---

Entry 6:
This record from the Alexandria database describes a geometry-optimized NaMgTl3 structure. The functional is PBE.

Cell: 6.2963 5.2156 8.7080 Å, 90.00 105.95 90.00°
Closest atoms and distances in Å follow each position.
Fractional positions:
Na 0.0673 0.2500 0.3206  10 Tl 3.28-3.62, 1 Mg 3.50
Na 0.9327 0.7500 0.6794  10 Tl 3.28-3.62, 1 Mg 3.50
Mg 0.4625 0.2500 0.1064  7 Tl 3.15-3.30, 2 Mg 3.31, 1 Na 3.50
Mg 0.5375 0.7500 0.8936  7 Tl 3.15-3.30, 2 Mg 3.31, 1 Na 3.50
Tl 0.1563 0.7500 0.0831  3 Mg 3.22-3.26, 5 Tl 3.35-3.54, 3 Na 3.41-3.47
Tl 0.2671 0.2500 0.7328  3 Mg 3.15-3.22, 3 Na 3.30-3.46, 3 Tl 3.41-3.47
Tl 0.3419 0.7500 0.5004  4 Na 3.28-3.62, 6 Tl 3.28-3.60, 1 Mg 3.30
Tl 0.6581 0.2500 0.4996  4 Na 3.28-3.62, 6 Tl 3.28-3.60, 1 Mg 3.30
Tl 0.7329 0.7500 0.2672  3 Mg 3.15-3.22, 3 Na 3.30-3.46, 3 Tl 3.41-3.47
Tl 0.8437 0.2500 0.9169  3 Mg 3.22-3.26, 5 Tl 3.35-3.54, 3 Na 3.41-3.47

Summary:
The value obtained for the polymorph energy (0 for the lowest one) is 0.0 meV per atom. Its space group is P2_1/m, No. 11. As for the energy: -2.06 eV/atom. For the formation enthalpy at 0 K, the calculation gives -58 meV per atom.

---

Which value of energy does entry 4 give?
-3.43 eV/atom